Below is a relaxed Co3OF5 crystal, with properties calculated at the PBE with a Hubbard U level.

```
18
Lattice="4.5374 -3.3989 0.0000 4.5374 3.3989 0.0000 -2.4857 0.0000 6.8563" Properties=species:S:1:pos:R:3 pbc="T T T"
Co 0.0000 0.0000 0.0000
Co -1.2429 0.0000 3.4282
Co 2.0599 0.0000 2.3959
Co 1.0124 0.0000 5.6195
Co 5.5767 0.0000 1.2368
Co 4.5292 0.0000 4.4604
O 0.7701 0.0000 3.6251
O 5.8190 0.0000 3.2312
F 0.9416 2.0580 5.7190
F -1.0519 0.0000 5.4581
F 3.2946 1.3051 3.4282
F 5.6475 2.0580 1.1373
F 3.5416 0.0000 0.9284
F 3.0475 0.0000 5.9279
F 0.9416 -2.0580 5.7190
F 3.2946 -1.3051 3.4282
F 7.6410 0.0000 1.3982
F 5.6475 -2.0580 1.1373
```

For the energy above the most stable polymorph in this dataset, the calculation gives 12 meV/atom.